(1)
{
  "formula": "DyGe",
  "functional": "PBE",
  "state": "relaxed",
  "e_tot_ev_per_atom": -4.496,
  "spacegroup": "F-43m, No. 216",
  "cell": [[0.676, -4.548, 0.182], [-3.219, -2.870, -1.604], [0.754, -2.371, -3.871]],
  "species": ["Ge", "Dy"],
  "frac_coords": [[0.250, 0.250, 0.250], [0.000, 0.000, 0.000]]
}

=====

(2)
{
  "formula": "Dy5Ge4",
  "functional": "PBE",
  "state": "relaxed",
  "e_tot_ev_per_atom": -5.468,
  "spacegroup": "Pnma, No. 62",
  "cell": [[7.641, 0.000, 0.000], [0.000, 14.685, 0.000], [0.000, 0.000, 7.724]],
  "species": ["Dy", "Dy", "Dy", "Dy", "Dy", "Dy", "Dy", "Dy", "Dy", "Dy", "Dy", "Dy", "Dy", "Dy", "Dy", "Dy", "Dy", "Dy", "Dy", "Dy", "Ge", "Ge", "Ge", "Ge", "Ge", "Ge", "Ge", "Ge", "Ge", "Ge", "Ge", "Ge", "Ge", "Ge", "Ge", "Ge"],
  "frac_coords": [[0.624, 0.617, 0.339], [0.025, 0.399, 0.323], [0.876, 0.383, 0.839], [0.124, 0.883, 0.161], [0.975, 0.899, 0.677], [0.525, 0.101, 0.177], [0.211, 0.250, 0.999], [0.475, 0.601, 0.823], [0.124, 0.617, 0.161], [0.475, 0.899, 0.823], [0.376, 0.117, 0.661], [0.025, 0.101, 0.323], [0.376, 0.383, 0.661], [0.525, 0.399, 0.177], [0.624, 0.883, 0.339], [0.876, 0.117, 0.839], [0.711, 0.250, 0.501], [0.289, 0.750, 0.499], [0.975, 0.601, 0.677], [0.789, 0.750, 0.001], [0.420, 0.750, 0.117], [0.218, 0.456, 0.967], [0.669, 0.750, 0.637], [0.920, 0.750, 0.383], [0.080, 0.250, 0.617], [0.169, 0.750, 0.863], [0.782, 0.956, 0.033], [0.718, 0.044, 0.533], [0.282, 0.956, 0.467], [0.831, 0.250, 0.137], [0.580, 0.250, 0.883], [0.331, 0.250, 0.363], [0.718, 0.456, 0.533], [0.218, 0.044, 0.967], [0.782, 0.544, 0.033], [0.282, 0.544, 0.467]]
}

=====

(3)
{
  "formula": "Dy3Ge7",
  "functional": "PBE",
  "state": "relaxed",
  "e_tot_ev_per_atom": -5.148,
  "spacegroup": "Cmmm, No. 65",
  "cell": [[5.920, 2.948, 10.432], [-9.120, -2.222, -8.028], [-0.041, -4.013, 1.158]],
  "species": ["Ge", "Ge", "Ge", "Ge", "Ge", "Ge", "Ge", "Dy", "Dy", "Dy"],
  "frac_coords": [[0.593, 0.407, 0.000], [0.094, 0.906, 0.500], [0.906, 0.094, 0.500], [0.285, 0.715, 0.500], [0.715, 0.285, 0.500], [0.407, 0.593, 0.000], [0.500, 0.500, 0.500], [0.183, 0.817, 0.000], [0.817, 0.183, 0.000], [0.000, 0.000, 0.000]]
}

=====

(4)
{
  "formula": "Dy3Ge5",
  "functional": "PBE",
  "state": "relaxed",
  "e_tot_ev_per_atom": -5.324,
  "spacegroup": "Fdd2, No. 43",
  "cell": [[0.000, 8.686, 6.884], [2.882, 0.000, 6.884], [2.882, 8.686, 0.000]],
  "species": ["Ge", "Ge", "Ge", "Ge", "Ge", "Ge", "Ge", "Ge", "Ge", "Ge", "Dy", "Dy", "Dy", "Dy", "Dy", "Dy"],
  "frac_coords": [[0.501, 0.164, 0.324], [0.164, 0.501, 0.010], [0.926, 0.240, 0.749], [0.691, 0.691, 0.809], [0.897, 0.403, 0.231], [0.019, 0.781, 0.353], [0.781, 0.019, 0.847], [0.240, 0.926, 0.086], [0.441, 0.441, 0.559], [0.403, 0.897, 0.469], [0.651, 0.355, 0.684], [0.566, 0.940, 0.599], [0.997, 0.997, 0.003], [0.355, 0.651, 0.310], [0.940, 0.566, 0.895], [0.247, 0.247, 0.253]]
}

=====

(5)
{
  "formula": "DyGe2",
  "functional": "PBE",
  "state": "relaxed",
  "e_tot_ev_per_atom": -4.928,
  "spacegroup": "Fd-3m, No. 227",
  "cell": [[1.019, 3.171, 4.543], [-3.652, 4.014, 1.510], [-3.129, -0.639, 4.641]],
  "species": ["Dy", "Dy", "Ge", "Ge", "Ge", "Ge"],
  "frac_coords": [[0.250, 0.250, 0.250], [0.000, 0.000, 0.000], [0.125, 0.625, 0.625], [0.625, 0.625, 0.625], [0.625, 0.125, 0.625], [0.625, 0.625, 0.125]]
}

=====

(6)
{
  "formula": "DyGe2",
  "functional": "PBE",
  "state": "relaxed",
  "e_tot_ev_per_atom": -3.225,
  "spacegroup": "Fd-3m, No. 227",
  "cell": [[-1.504, -8.319, 3.827], [-0.035, -7.612, -5.308], [6.933, -6.135, 0.640]],
  "species": ["Dy", "Dy", "Ge", "Ge", "Ge", "Ge"],
  "frac_coords": [[0.250, 0.250, 0.250], [0.500, 0.500, 0.500], [0.375, 0.375, 0.875], [0.375, 0.375, 0.375], [0.875, 0.375, 0.375], [0.375, 0.875, 0.375]]
}

=====

(7)
{
  "formula": "DyGe",
  "functional": "PBE",
  "state": "relaxed",
  "e_tot_ev_per_atom": -5.067,
  "spacegroup": "Amm2, No. 38",
  "cell": [[-2.587, -1.107, -2.415], [3.557, -0.962, -0.522], [-0.609, -3.467, 2.241]],
  "species": ["Ge", "Dy"],
  "frac_coords": [[0.334, 0.667, 0.250], [0.666, 0.333, 0.750]]
}

=====

(8)
{
  "formula": "DyGeHO4",
  "functional": "PBE",
  "state": "relaxed",
  "e_above_lowest_polymorph_mev_per_atom": 0,
  "e_tot_ev_per_atom": -6.843,
  "spacegroup": "P2_1/c, No. 14",
  "cell": [[-3.207, -5.277, -6.759], [4.348, -4.599, 1.527], [-2.004, 0.324, 6.683]],
  "species": ["O", "O", "O", "O", "O", "O", "O", "O", "O", "O", "O", "O", "O", "O", "O", "O", "Ge", "Ge", "Ge", "Ge", "Dy", "Dy", "Dy", "Dy", "H", "H", "H", "H"],
  "frac_coords": [[0.763, 0.070, 0.078], [0.558, 0.800, 0.526], [0.237, 0.930, 0.922], [0.283, 0.969, 0.585], [0.283, 0.531, 0.085], [0.925, 0.692, 0.413], [0.237, 0.570, 0.422], [0.442, 0.300, 0.974], [0.925, 0.808, 0.913], [0.717, 0.031, 0.415], [0.075, 0.308, 0.587], [0.075, 0.192, 0.087], [0.558, 0.700, 0.026], [0.442, 0.200, 0.474], [0.763, 0.430, 0.578], [0.717, 0.469, 0.915], [0.249, 0.123, 0.760], [0.249, 0.377, 0.260], [0.751, 0.877, 0.240], [0.751, 0.623, 0.740], [0.776, 0.361, 0.277], [0.776, 0.139, 0.777], [0.224, 0.639, 0.723], [0.224, 0.861, 0.223], [0.393, 0.382, 0.052], [0.607, 0.882, 0.448], [0.393, 0.118, 0.552], [0.607, 0.618, 0.948]]
}

=====

(9)
{
  "formula": "DyGeHO4",
  "functional": "PBE",
  "state": "relaxed",
  "e_above_lowest_polymorph_mev_per_atom": 53,
  "e_tot_ev_per_atom": -6.790,
  "spacegroup": "P2_1/m, No. 11",
  "cell": [[-4.217, 0.691, 2.977], [-1.680, -6.184, -0.945], [2.876, -1.282, 3.275]],
  "species": ["O", "O", "O", "O", "O", "O", "O", "O", "Ge", "Ge", "H", "H", "Dy", "Dy"],
  "frac_coords": [[0.365, 0.250, 0.623], [0.656, 0.250, 0.174], [0.100, 0.953, 0.283], [0.900, 0.047, 0.717], [0.344, 0.750, 0.826], [0.100, 0.547, 0.283], [0.900, 0.453, 0.717], [0.635, 0.750, 0.377], [0.684, 0.250, 0.563], [0.316, 0.750, 0.437], [0.000, 0.000, 0.500], [0.000, 0.500, 0.500], [0.208, 0.250, 0.054], [0.792, 0.750, 0.946]]
}

=====

(10)
{
  "formula": "DyGeHO4",
  "functional": "PBE",
  "state": "relaxed",
  "e_above_lowest_polymorph_mev_per_atom": 504,
  "e_tot_ev_per_atom": -6.339,
  "spacegroup": "Pnma, No. 62",
  "cell": [[4.837, 0.000, 0.000], [0.000, 11.067, 0.000], [0.000, 0.000, 6.099]],
  "species": ["O", "O", "O", "O", "O", "O", "O", "O", "O", "O", "O", "O", "O", "O", "O", "O", "Ge", "Ge", "Ge", "Ge", "H", "H", "H", "H", "Dy", "Dy", "Dy", "Dy"],
  "frac_coords": [[0.249, 0.430, 0.250], [0.809, 0.341, 0.963], [0.688, 0.562, 0.250], [0.188, 0.938, 0.750], [0.312, 0.438, 0.750], [0.191, 0.659, 0.463], [0.749, 0.070, 0.750], [0.691, 0.841, 0.963], [0.309, 0.159, 0.037], [0.809, 0.341, 0.537], [0.251, 0.930, 0.250], [0.191, 0.659, 0.037], [0.691, 0.841, 0.537], [0.309, 0.159, 0.463], [0.751, 0.570, 0.750], [0.812, 0.062, 0.250], [0.058, 0.565, 0.250], [0.942, 0.435, 0.750], [0.558, 0.935, 0.750], [0.442, 0.065, 0.250], [0.000, 0.000, 0.500], [0.000, 0.000, 0.000], [0.500, 0.500, 0.500], [0.500, 0.500, 0.000], [0.493, 0.241, 0.750], [0.007, 0.741, 0.750], [0.507, 0.759, 0.250], [0.993, 0.259, 0.250]]
}

=====

(11)
{
  "formula": "DyGeHO4",
  "functional": "PBE",
  "state": "relaxed",
  "e_above_lowest_polymorph_mev_per_atom": 5,
  "e_tot_ev_per_atom": -6.838,
  "spacegroup": "Pbcn, No. 60",
  "cell": [[-1.210, -1.970, -4.650], [10.095, -5.691, -0.217], [-2.065, -3.744, 2.123]],
  "species": ["O", "O", "O", "O", "O", "O", "O", "O", "O", "O", "O", "O", "O", "O", "O", "O", "Dy", "Dy", "Dy", "Dy", "Ge", "Ge", "Ge", "Ge", "H", "H", "H", "H"],
  "frac_coords": [[0.237, 0.041, 0.591], [0.381, 0.797, 0.525], [0.763, 0.041, 0.909], [0.119, 0.297, 0.525], [0.119, 0.703, 0.025], [0.737, 0.459, 0.409], [0.619, 0.797, 0.975], [0.237, 0.959, 0.091], [0.881, 0.297, 0.975], [0.263, 0.541, 0.591], [0.381, 0.203, 0.025], [0.263, 0.459, 0.091], [0.737, 0.541, 0.909], [0.881, 0.703, 0.475], [0.763, 0.959, 0.409], [0.619, 0.203, 0.475], [0.500, 0.619, 0.250], [0.000, 0.881, 0.750], [0.000, 0.119, 0.250], [0.500, 0.381, 0.750], [0.000, 0.607, 0.750], [0.500, 0.893, 0.250], [0.000, 0.393, 0.250], [0.500, 0.107, 0.750], [0.500, 0.202, 0.250], [0.000, 0.298, 0.750], [0.000, 0.702, 0.250], [0.500, 0.798, 0.750]]
}

=====

(12)
{
  "formula": "DyGeHO4",
  "functional": "PBE",
  "state": "relaxed",
  "e_above_lowest_polymorph_mev_per_atom": 16,
  "e_tot_ev_per_atom": -6.826,
  "spacegroup": "P2_1/c, No. 14",
  "cell": [[-1.858, -1.423, 7.010], [3.004, -5.950, -0.412], [6.247, 3.160, -0.081]],
  "species": ["O", "O", "O", "O", "O", "O", "O", "O", "O", "O", "O", "O", "O", "O", "O", "O", "Ge", "Ge", "Ge", "Ge", "Dy", "Dy", "Dy", "Dy", "H", "H", "H", "H"],
  "frac_coords": [[0.466, 0.284, 0.810], [0.100, 0.318, 0.048], [0.100, 0.182, 0.548], [0.466, 0.216, 0.310], [0.534, 0.716, 0.190], [0.704, 0.006, 0.073], [0.819, 0.409, 0.248], [0.704, 0.494, 0.573], [0.900, 0.682, 0.952], [0.296, 0.994, 0.927], [0.819, 0.091, 0.748], [0.296, 0.506, 0.427], [0.181, 0.591, 0.752], [0.181, 0.909, 0.252], [0.900, 0.818, 0.452], [0.534, 0.784, 0.690], [0.745, 0.617, 0.357], [0.255, 0.383, 0.643], [0.255, 0.117, 0.143], [0.745, 0.883, 0.857], [0.779, 0.134, 0.418], [0.779, 0.366, 0.918], [0.221, 0.866, 0.582], [0.221, 0.634, 0.082], [0.385, 0.401, 0.391], [0.615, 0.901, 0.109], [0.615, 0.599, 0.609], [0.385, 0.099, 0.891]]
}

=====

(13)
{
  "formula": "DyHfGe",
  "functional": "PBE",
  "state": "relaxed",
  "e_tot_ev_per_atom": -5.643,
  "spacegroup": "F-43m, No. 216",
  "cell": [[0.000, 3.413, 3.413], [3.413, 0.000, 3.413], [3.413, 3.413, 0.000]],
  "species": ["Dy", "Ge", "Hf"],
  "frac_coords": [[0.000, 0.000, 0.000], [0.250, 0.250, 0.250], [0.750, 0.750, 0.750]]
}

=====

(14)
{
  "formula": "Dy2HgGe4O12",
  "functional": "PBE",
  "state": "relaxed",
  "e_tot_ev_per_atom": -6.643,
  "spacegroup": "P-1, No. 2",
  "cell": [[5.089, 0.000, 0.000], [1.275, 7.070, 0.000], [0.242, 2.994, 7.351]],
  "species": ["Ge", "Ge", "Ge", "Ge", "O", "O", "O", "O", "O", "O", "O", "O", "O", "O", "O", "O", "Dy", "Dy", "Hg"],
  "frac_coords": [[0.414, 0.389, 0.787], [0.545, 0.838, 0.775], [0.586, 0.611, 0.213], [0.455, 0.162, 0.225], [0.211, 0.072, 0.379], [0.268, 0.739, 0.221], [0.718, 0.701, 0.992], [0.282, 0.299, 0.008], [0.732, 0.261, 0.779], [0.803, 0.570, 0.392], [0.279, 0.029, 0.773], [0.789, 0.928, 0.621], [0.601, 0.336, 0.288], [0.399, 0.664, 0.712], [0.721, 0.971, 0.227], [0.197, 0.430, 0.608], [0.044, 0.766, 0.460], [0.956, 0.234, 0.540], [0.000, 0.000, 0.000]]
}

=====

(15)
{
  "formula": "DyHoGe",
  "functional": "PBE",
  "state": "relaxed",
  "e_above_lowest_polymorph_mev_per_atom": 0,
  "e_tot_ev_per_atom": -5.133,
  "spacegroup": "F-43m, No. 216",
  "cell": [[0.000, 3.440, 3.440], [3.440, 0.000, 3.440], [3.440, 3.440, 0.000]],
  "species": ["Ge", "Ho", "Dy"],
  "frac_coords": [[0.000, 0.000, 0.000], [0.750, 0.750, 0.750], [0.250, 0.250, 0.250]]
}

=====

(16)
{
  "formula": "DyHoGe",
  "functional": "PBE",
  "state": "relaxed",
  "e_above_lowest_polymorph_mev_per_atom": 247,
  "e_tot_ev_per_atom": -4.886,
  "spacegroup": "Cmcm, No. 63",
  "cell": [[-9.131, 1.805, 6.091], [7.337, -5.242, -6.514], [1.983, -1.454, 3.404]],
  "species": ["Ho", "Ho", "Dy", "Dy", "Ge", "Ge"],
  "frac_coords": [[0.939, 0.061, 0.250], [0.061, 0.939, 0.750], [0.680, 0.320, 0.250], [0.320, 0.680, 0.750], [0.184, 0.816, 0.750], [0.816, 0.184, 0.250]]
}

=====

(17)
{
  "formula": "Dy2Ho2GeI5",
  "functional": "PBE",
  "state": "relaxed",
  "e_tot_ev_per_atom": -4.234,
  "spacegroup": "C2/m, No. 12",
  "cell": [[-1.346, -6.204, 7.421], [-3.608, -7.963, 4.352], [7.361, -3.023, -3.695]],
  "species": ["I", "I", "I", "I", "I", "Dy", "Dy", "Ge", "Ho", "Ho"],
  "frac_coords": [[0.829, 0.829, 0.171], [0.500, 0.500, 0.500], [0.166, 0.166, 0.337], [0.171, 0.171, 0.829], [0.834, 0.834, 0.663], [0.647, 0.647, 0.074], [0.353, 0.353, 0.926], [0.500, 0.500, 0.000], [0.000, 0.000, 0.789], [0.000, 0.000, 0.211]]
}

=====

(18)
{
  "formula": "Dy2Ho2InNi2Ge4",
  "functional": "PBE",
  "state": "relaxed",
  "e_tot_ev_per_atom": -5.395,
  "spacegroup": "C2/m, No. 12",
  "cell": [[-3.382, 1.131, -7.190], [-3.374, -3.063, -6.607], [-5.024, 0.671, 4.897]],
  "species": ["Ge", "Ge", "Ge", "Ge", "Dy", "Dy", "Ni", "Ni", "Ho", "Ho", "In"],
  "frac_coords": [[0.796, 0.796, 0.727], [0.204, 0.204, 0.273], [0.066, 0.066, 0.662], [0.934, 0.934, 0.338], [0.344, 0.344, 0.062], [0.656, 0.656, 0.938], [0.783, 0.783, 0.357], [0.217, 0.217, 0.643], [0.591, 0.591, 0.391], [0.409, 0.409, 0.609], [0.000, 0.000, 0.000]]
}

=====

(19)
{
  "formula": "Dy2Ho2InNi2Ge4",
  "functional": "PBE",
  "state": "relaxed",
  "e_tot_ev_per_atom": -5.396,
  "spacegroup": "C2/m, No. 12",
  "cell": [[-2.120, -7.685, -0.862], [1.906, -7.487, -2.148], [2.078, 0.950, 6.654]],
  "species": ["Ni", "Ni", "Ge", "Ge", "Ge", "Ge", "Dy", "Dy", "In", "Ho", "Ho"],
  "frac_coords": [[0.783, 0.783, 0.357], [0.217, 0.217, 0.643], [0.066, 0.066, 0.663], [0.204, 0.204, 0.273], [0.796, 0.796, 0.727], [0.934, 0.934, 0.337], [0.409, 0.409, 0.610], [0.591, 0.591, 0.390], [0.000, 0.000, 0.000], [0.344, 0.344, 0.062], [0.656, 0.656, 0.938]]
}